# 1
Computed, not measured: crystalline YWC3 at its relaxed geometry at the PBE-GGA level of DFT.

Unit cell a=4.089 b=4.089 c=4.089 alpha=90.00 beta=90.00 gamma=90.00
Sites, in units of the cell vectors:
1 C 0.500 0.000 0.000
2 C 0.000 0.000 0.500
3 Y 0.500 0.500 0.500
4 C 0.000 0.500 0.000
5 W 0.000 0.000 0.000

Computed properties:
- DOS at the Fermi energy (states/eV/f.u.) = 2.45
- relative energy among the computed polymorphs (eV/atom) = 0.0000
- spin magnetization (μB per formula unit) = 0.00
- E_form (eV per atom) = 0.729


# 2
Computed, not measured: crystalline YWC2 at its relaxed geometry at the PBE-GGA level of DFT.

Unit cell a=5.119 b=5.119 c=6.135 alpha=65.34 beta=65.34 gamma=90.00
Sites, in units of the cell vectors:
1 W 0.000 0.000 0.000
2 W 0.750 0.250 0.500
3 C 0.695 0.125 0.250
4 C 0.055 0.625 0.250
5 Y 0.250 0.750 0.500
6 C 0.875 0.945 0.750
7 Y 0.500 0.500 0.000
8 C 0.375 0.305 0.750

Computed properties:
- DOS at the Fermi energy (states/eV/f.u.) = 2.15
- relative energy among the computed polymorphs (eV/atom) = 0.3865
- spin magnetization (μB per formula unit) = 0.00
- E_form (eV per atom) = 0.114


# 3
Computed, not measured: crystalline YW3C at its relaxed geometry at the PBE-GGA level of DFT.

Unit cell a=4.821 b=4.821 c=4.821 alpha=90.00 beta=90.00 gamma=90.00
Sites, in units of the cell vectors:
1 C 0.500 0.500 0.500
2 W 0.500 0.000 0.000
3 Y 0.000 0.000 0.000
4 W 0.000 0.000 0.500
5 W 0.000 0.500 0.000

Computed properties:
- DOS at the Fermi energy (states/eV/f.u.) = 7.81
- relative energy among the computed polymorphs (eV/atom) = 4.0763
- spin magnetization (μB per formula unit) = 0.00
- E_form (eV per atom) = 4.406


Calculated density values (in g/cm³) by entry order: 7.5, 7.6, 9.7.